KSrPr2Te4: optimized geometry, PBE-GGA.

POSCAR file:
```
KSrPr2Te4
1.0
-0.256 -4.590 -0.176
8.214 -0.502 1.122
1.466 -0.383 7.850
K Sr Pr Te
1 1 2 4
direct
0.000 0.500 0.500
0.500 0.500 0.000
0.000 0.000 0.000
0.500 0.000 0.500
0.000 0.763 0.749
0.000 0.237 0.251
0.500 0.769 0.239
0.500 0.231 0.761
```

## Properties
The final energy comes out at -4.599 eV/atom.